Model P:
First-principles (GGA-PBE) data for a relaxed Ac2Nd6Sm3 crystal, as listed in Alexandria via LeMat-Bulk.

Calculated values
Mass density in g/cm3: 7.3
Calculated volume in Å³/f.u.: 402
Magnetic moment in μB/f.u.: 0.00

```
Ac2Nd6Sm3
1.0
3.7257 0.0000 0.2286
1.8559 3.2306 0.2286
-0.1789 -0.1035 33.3964
Ac Nd Sm
2 6 3
Direct
0.5464 0.5464 0.3608
0.4536 0.4536 0.6392
0.9113 0.9113 0.2661
0.0887 0.0887 0.7339
0.8185 0.8185 0.5446
0.1815 0.1815 0.4554
0.6371 0.6371 0.0887
0.3629 0.3629 0.9113
0.0000 0.0000 0.0000
0.7259 0.7259 0.8224
0.2741 0.2741 0.1776
```

---

Model Q:
First-principles (GGA-PBE) data for a relaxed Ac2Nd6Sm3 crystal, as listed in Alexandria via LeMat-Bulk.

Calculated values
Mass density in g/cm3: 6.7
Calculated volume in Å³/f.u.: 441
Magnetic moment in μB/f.u.: 0.00

```
Ac2Nd6Sm3
1.0
-2.4838 -1.7121 5.0908
4.7139 -3.3832 1.1621
4.3660 12.2208 2.8009
Ac Nd Sm
2 6 3
Direct
0.4364 0.4364 0.8728
0.5636 0.5636 0.1272
0.1051 0.6051 0.2102
0.6051 0.1051 0.2102
0.8949 0.3949 0.7898
0.3949 0.8949 0.7898
0.7045 0.7045 0.4089
0.2955 0.2955 0.5911
0.0000 0.0000 0.0000
0.8382 0.8382 0.6763
0.1618 0.1618 0.3237
```

---

The structures above, arranged from the most stable to the least stable: model P, model Q.